Entry 1:
Material: Be2CoH5
Method: DFT, PBE
State: optimized geometry

Summary:
Its final energy is -3.911 eV/atom.

```
Be2CoH5
1.0
6.210 0.000 0.000
0.000 5.550 0.000
-1.753 0.000 2.805
Be Co H
4 2 10
direct
0.000 0.207 0.000 Be
0.000 0.793 0.000 Be
0.500 0.293 0.000 Be
0.500 0.707 0.000 Be
0.300 0.500 0.315 Co
0.800 0.000 0.315 Co
0.088 0.000 0.706 H
0.256 0.500 0.781 H
0.313 0.216 0.341 H
0.313 0.784 0.341 H
0.494 0.000 0.993 H
0.588 0.500 0.706 H
0.756 0.000 0.781 H
0.813 0.284 0.341 H
0.813 0.716 0.341 H
0.994 0.500 0.993 H
```

Entry 2:
Material: BeCoH2
Method: DFT, PBE
State: optimized geometry

Summary:
Its excess energy over the best structure of this formula in the dataset is 0.059 eV per atom.

```
BeCoH2
1.0
2.646 0.000 0.000
-1.323 2.291 0.000
0.000 0.000 12.066
Be Co H
3 3 6
direct
0.000 0.000 0.000 Be
0.333 0.667 0.667 Be
0.667 0.333 0.333 Be
0.000 0.000 0.188 Co
0.333 0.667 0.855 Co
0.667 0.333 0.521 Co
0.000 0.000 0.588 H
0.000 0.000 0.781 H
0.333 0.667 0.254 H
0.333 0.667 0.448 H
0.667 0.333 0.114 H
0.667 0.333 0.921 H
```

Entry 3:
Material: BeCoH2
Method: DFT, PBE
State: optimized geometry

Summary:
Its excess energy over the best structure of this formula in the dataset is 0.000 eV per atom.

```
BeCoH2
1.0
3.529 0.000 0.000
0.000 3.529 0.000
0.000 0.000 7.945
Be Co H
4 4 8
direct
0.000 0.000 0.000 Be
0.000 0.500 0.250 Be
0.500 0.000 0.750 Be
0.500 0.500 0.500 Be
0.000 0.000 0.500 Co
0.000 0.500 0.750 Co
0.500 0.000 0.250 Co
0.500 0.500 0.000 Co
0.248 0.250 0.125 H
0.250 0.748 0.375 H
0.250 0.752 0.875 H
0.252 0.250 0.625 H
0.748 0.750 0.625 H
0.750 0.248 0.875 H
0.750 0.252 0.375 H
0.752 0.750 0.125 H
```

Entry 4:
Material: BeCoH2
Method: DFT, PBE
State: optimized geometry

Summary:
Its excess energy over the best structure of this formula in the dataset is 0.306 eV per atom.

```
BeCoH2
1.0
4.526 0.000 0.000
0.000 4.526 0.000
0.000 0.000 4.526
Be Co H
4 4 8
direct
0.000 0.000 0.000 Be
0.000 0.500 0.500 Be
0.500 0.000 0.500 Be
0.500 0.500 0.000 Be
0.000 0.000 0.500 Co
0.000 0.500 0.000 Co
0.500 0.000 0.000 Co
0.500 0.500 0.500 Co
0.250 0.250 0.250 H
0.250 0.250 0.750 H
0.250 0.750 0.250 H
0.250 0.750 0.750 H
0.750 0.250 0.250 H
0.750 0.250 0.750 H
0.750 0.750 0.250 H
0.750 0.750 0.750 H
```

Entry 5:
Material: BeCoH2
Method: DFT, PBE
State: optimized geometry

Summary:
Its excess energy over the best structure of this formula in the dataset is 0.074 eV per atom.

```
BeCoH2
1.0
2.659 0.000 0.000
-1.329 2.303 0.000
0.000 0.000 12.057
Be Co H
3 3 6
direct
0.000 0.000 0.000 Be
0.333 0.667 0.667 Be
0.667 0.333 0.333 Be
0.000 0.000 0.500 Co
0.333 0.667 0.167 Co
0.667 0.333 0.833 Co
0.000 0.000 0.376 H
0.000 0.000 0.624 H
0.333 0.667 0.043 H
0.333 0.667 0.291 H
0.667 0.333 0.709 H
0.667 0.333 0.957 H
```

Entry 6:
Material: BeCoH6
Method: DFT, PBE
State: optimized geometry

Summary:
Its final energy is -3.782 eV/atom.

```
BeCoH6
1.0
3.372 0.000 0.000
0.000 8.976 0.000
-0.509 0.000 4.148
Be Co H
2 2 12
direct
0.000 0.000 0.000 Be
0.500 0.500 0.000 Be
0.000 0.000 0.500 Co
0.500 0.500 0.500 Co
0.019 0.500 0.613 H
0.037 0.129 0.743 H
0.037 0.871 0.743 H
0.463 0.371 0.257 H
0.463 0.629 0.257 H
0.481 0.000 0.387 H
0.519 0.000 0.613 H
0.537 0.371 0.743 H
0.537 0.629 0.743 H
0.963 0.129 0.257 H
0.963 0.871 0.257 H
0.981 0.500 0.387 H
```

Entry 7:
Material: BeCoH
Method: DFT, PBE
State: optimized geometry

Summary:
Its final energy is -4.627 eV/atom.

```
BeCoH
1.0
2.464 0.000 0.000
0.000 2.464 0.000
0.000 0.000 7.439
Be Co H
2 2 2
direct
0.000 0.000 0.000 Be
0.500 0.500 0.500 Be
0.000 0.000 0.694 Co
0.500 0.500 0.194 Co
0.000 0.000 0.239 H
0.500 0.500 0.739 H
```

Entry 8:
Material: Be4CoH2
Method: DFT, PBE
State: optimized geometry

Summary:
Its final energy is -3.256 eV/atom.

```
Be4CoH2
1.0
3.928 0.000 0.000
0.000 3.928 0.000
0.000 0.000 12.072
Be Co H
8 2 4
direct
0.000 0.000 0.168 Be
0.000 0.000 0.832 Be
0.000 0.500 0.000 Be
0.000 0.500 0.500 Be
0.500 0.000 0.000 Be
0.500 0.000 0.500 Be
0.500 0.500 0.332 Be
0.500 0.500 0.668 Be
0.000 0.000 0.000 Co
0.500 0.500 0.500 Co
0.000 0.000 0.282 H
0.000 0.000 0.718 H
0.500 0.500 0.218 H
0.500 0.500 0.782 H
```

Entry 9:
Material: HfBeCo2H
Method: DFT, PBE
State: optimized geometry

Summary:
Its excess energy over the best structure of this formula in the dataset is 0.169 eV per atom.

```
HfBeCo2H
1.0
3.853 0.000 0.000
0.000 3.853 0.000
0.000 0.000 3.463
Hf Be Co H
1 1 2 1
direct
0.000 0.000 0.000 Hf
0.500 0.500 0.000 Be
0.000 0.500 0.500 Co
0.500 0.000 0.500 Co
0.500 0.500 0.500 H
```

Entry 10:
Material: HfBeCo2H
Method: DFT, PBE
State: optimized geometry

Summary:
Its excess energy over the best structure of this formula in the dataset is 0.000 eV per atom.

```
HfBeCo2H
1.0
1.600 -4.799 0.000
1.600 4.799 0.000
0.000 0.000 6.732
Hf Be Co H
2 2 4 2
direct
0.054 0.946 0.750 Hf
0.946 0.054 0.250 Hf
0.231 0.769 0.250 Be
0.769 0.231 0.750 Be
0.340 0.660 0.556 Co
0.340 0.660 0.944 Co
0.660 0.340 0.056 Co
0.660 0.340 0.444 Co
0.500 0.500 0.000 H
0.500 0.500 0.500 H
```

Entry 11:
Material: HoBeCo2H8
Method: DFT, PBE
State: optimized geometry

Summary:
Its final energy is -4.093 eV/atom.

```
HoBeCo2H8
1.0
4.415 0.000 0.000
-2.208 3.824 0.000
0.000 0.000 5.681
Ho Be Co H
1 1 2 8
direct
0.000 0.000 0.000 Ho
0.000 0.000 0.500 Be
0.333 0.667 0.370 Co
0.667 0.333 0.630 Co
0.142 0.285 0.316 H
0.142 0.858 0.316 H
0.285 0.142 0.684 H
0.333 0.667 0.094 H
0.667 0.333 0.906 H
0.715 0.858 0.316 H
0.858 0.142 0.684 H
0.858 0.715 0.684 H
```

Entry 12:
Material: BeCo2HIr
Method: DFT, PBE
State: optimized geometry

Summary:
Its excess energy over the best structure of this formula in the dataset is 0.016 eV per atom.

```
BeCo2HIr
1.0
3.477 0.000 0.000
0.000 3.477 0.000
0.000 0.000 3.863
Be Co H Ir
1 2 1 1
direct
0.000 0.000 0.000 Be
0.000 0.500 0.500 Co
0.500 0.000 0.500 Co
0.500 0.500 0.500 H
0.500 0.500 0.000 Ir
```

Record-wise total magnetic moment values, in μB/atom: 0.000 0.001 0.000 0.000 0.109 0.000 0.000 0.000 0.000 0.282 0.000 0.055